A relaxed structure of MgOs2Ru. Source: Alexandria via LeMat-Bulk, functional PBE-GGA. Values from VASP.

Geometry as Quantum ESPRESSO input:
```
&SYSTEM
  ibrav = 0, nat = 4, ntyp = 3
/
ATOMIC_SPECIES
Mg 24.30 Mg.upf
Os 190.23 Os.upf
Ru 101.07 Ru.upf
CELL_PARAMETERS angstrom
2.773 0.000 0.000
0.000 4.054 0.000
0.000 0.000 5.210
ATOMIC_POSITIONS angstrom
Mg 0.000 0.000 0.000
Os 1.387 2.027 1.278
Os 1.387 2.027 3.932
Ru 0.000 0.000 2.605
```

magnetization = 0.00 μB/atom
calculated density = 14.3 g/cm3
energy of formation from the pure elements = 0.2711 eV per atom
crystal system = orthorhombic
volume = 59 Å³/cell
E = -8.061 eV/atom

---

A relaxed structure of BaAuBr. Source: Alexandria via LeMat-Bulk, functional PBE-GGA. Values from VASP.

Geometry as Quantum ESPRESSO input:
```
&SYSTEM
  ibrav = 0, nat = 12, ntyp = 3
/
ATOMIC_SPECIES
Ba 137.33 Ba.upf
Au 196.97 Au.upf
Br 79.90 Br.upf
CELL_PARAMETERS angstrom
8.459 0.000 0.000
0.000 4.911 0.000
-0.488 0.000 11.085
ATOMIC_POSITIONS angstrom
Ba -0.004 0.000 2.193
Ba 3.745 2.456 8.892
Ba 4.226 2.456 2.193
Ba 7.975 0.000 8.892
Au 0.925 2.456 10.901
Au 2.816 0.000 0.184
Au 5.155 0.000 10.901
Au 7.046 2.456 0.184
Br 1.397 2.456 3.804
Br 2.344 0.000 7.281
Br 5.627 0.000 3.804
Br 6.574 2.456 7.281
```

magnetization = 0.00 μB/atom
energy relative to the elements, uncorrected = -1.393 eV per atom
calculated density = 6.0 g/cm3
distance to the lowest polymorph of the same formula = 0.00 eV per formula unit
crystal system = monoclinic
volume = 461 Å³/cell
E = -3.683 eV/atom

---

A relaxed structure of Zn2ReSi. Source: Alexandria via LeMat-Bulk, functional PBE-GGA. Values from VASP.

Geometry as Quantum ESPRESSO input:
```
&SYSTEM
  ibrav = 0, nat = 4, ntyp = 3
/
ATOMIC_SPECIES
Zn 65.41 Zn.upf
Re 186.21 Re.upf
Si 28.09 Si.upf
CELL_PARAMETERS angstrom
2.744 0.000 0.000
0.000 2.744 0.000
0.000 0.000 7.961
ATOMIC_POSITIONS angstrom
Zn 0.000 0.000 0.000
Zn 1.372 1.372 1.998
Re 0.000 0.000 3.992
Si 1.372 1.372 5.739
```

magnetization = 0.00 μB/atom
energy relative to the elements, uncorrected = 0.285 eV per atom
calculated density = 9.6 g/cm3
crystal system = tetragonal
volume = 60 Å³/cell
E = -4.820 eV/atom

---

A relaxed structure of Ba2LaCd. Source: Alexandria via LeMat-Bulk, functional PBE-GGA. Values from VASP.

Geometry as Quantum ESPRESSO input:
```
&SYSTEM
  ibrav = 0, nat = 8, ntyp = 3
/
ATOMIC_SPECIES
Ba 137.33 Ba.upf
La 138.91 La.upf
Cd 112.41 Cd.upf
CELL_PARAMETERS angstrom
4.166 0.000 0.000
0.000 6.295 0.000
0.000 0.000 13.200
ATOMIC_POSITIONS angstrom
Ba 0.000 0.000 0.000
Ba 0.000 3.148 2.770
Ba 2.083 0.000 9.371
Ba 2.083 3.148 6.600
La 0.000 0.000 5.547
La 2.083 3.148 12.147
Cd 0.000 3.148 9.599
Cd 2.083 0.000 2.998
```

magnetization = 0.00 μB/atom
calculated density = 5.0 g/cm3
energy of formation from the pure elements = -0.0442 eV per atom
distance to the lowest polymorph of the same formula = 0.24 eV per formula unit
crystal system = orthorhombic
volume = 346 Å³/cell
E = -2.466 eV/atom